Record 1
Nb3AuF, optimized geometry, DFT PBE; formation energy without anion corrections = 1.550 eV per atom; space group = Pm-3m; E above lowest polymorph = 1614 meV per atom
1.0
5.020 0.000 0.000
0.000 5.020 0.000
0.000 0.000 5.020
Nb Au F
3 1 1
direct
0.000 0.000 0.500
0.000 0.500 0.000
0.500 0.000 0.000
0.000 0.000 0.000
0.500 0.500 0.500

***

Record 2
NbAgTeO6, optimized geometry, DFT PBE; formation energy without anion corrections = -1.370 eV per atom; space group = P-31c
1.0
5.373 0.000 0.000
-2.687 4.653 0.000
0.000 0.000 10.394
Nb Ag Te O
2 2 2 12
direct
0.333 0.667 0.250
0.667 0.333 0.750
0.000 0.000 0.000
0.000 0.000 0.500
0.333 0.667 0.750
0.667 0.333 0.250
0.009 0.387 0.645
0.009 0.622 0.855
0.378 0.387 0.855
0.378 0.991 0.645
0.387 0.009 0.145
0.387 0.378 0.355
0.613 0.622 0.645
0.613 0.991 0.855
0.622 0.009 0.355
0.622 0.613 0.145
0.991 0.378 0.145
0.991 0.613 0.355

***

Record 3
ZnCoAg, optimized geometry, DFT PBE; formation energy from the elements = 0.1702 eV per atom; space group = Cm; E above lowest polymorph = 25 meV per atom
1.0
6.682 -1.381 0.000
6.682 1.381 0.000
-0.535 0.000 4.686
Zn Co Ag
2 2 2
direct
0.000 0.000 0.000
0.660 0.660 0.892
0.149 0.149 0.394
0.511 0.511 0.496
0.331 0.331 0.781
0.828 0.828 0.287

***

Record 4
TbPr9Pb2, optimized geometry, DFT PBE; formation energy from the elements = -0.2117 eV per atom; space group = P4/mmm
1.0
5.052 0.000 0.000
0.000 5.052 0.000
0.000 0.000 15.573
Tb Pr Pb
1 9 2
direct
0.000 0.000 0.000
0.000 0.500 0.173
0.000 0.500 0.500
0.000 0.500 0.827
0.500 0.000 0.173
0.500 0.000 0.500
0.500 0.000 0.827
0.500 0.500 0.000
0.500 0.500 0.338
0.500 0.500 0.662
0.000 0.000 0.337
0.000 0.000 0.663

***

Record 5
Mo8W3, optimized geometry, DFT PBE; formation energy from the elements = -0.0131 eV per atom; space group = C2/m
1.0
5.010 -1.588 0.000
5.010 1.588 0.000
-3.032 0.000 11.015
Mo W
8 3
direct
0.045 0.045 0.318
0.136 0.136 0.954
0.227 0.227 0.591
0.318 0.318 0.227
0.682 0.682 0.773
0.773 0.773 0.409
0.864 0.864 0.046
0.955 0.955 0.682
0.409 0.409 0.864
0.500 0.500 0.500
0.591 0.591 0.136

***

Record 6
Y2TaHg, optimized geometry, DFT PBE; formation energy from the elements = 0.1620 eV per atom; space group = P4mm
1.0
3.286 0.000 0.000
0.000 3.286 0.000
0.000 0.000 9.266
Y Ta Hg
2 1 1
direct
0.000 0.000 0.000
0.500 0.500 0.323
0.500 0.500 0.768
0.000 0.000 0.560

***

Record 7
Fe2AgCl, optimized geometry, DFT PBE; formation energy without anion corrections = 0.587 eV per atom; space group = P4/mmm; E above lowest polymorph = 427 meV per atom
1.0
4.621 0.000 0.000
0.000 4.621 0.000
0.000 0.000 2.953
Fe Ag Cl
2 1 1
direct
0.000 0.500 0.000
0.500 0.000 0.000
0.000 0.000 0.500
0.500 0.500 0.500

***

Record 8
Re2PtW, optimized geometry, DFT PBE; formation energy from the elements = 0.0850 eV per atom; space group = P4/mmm; E above lowest polymorph = 191 meV per atom
1.0
2.763 0.000 0.000
0.000 2.763 0.000
0.000 0.000 8.077
Re Pt W
2 1 1
direct
0.000 0.000 0.247
0.000 0.000 0.753
0.500 0.500 0.500
0.500 0.500 0.000

***

Record 9
TcAgSb2, optimized geometry, DFT PBE; formation energy without anion corrections = 0.515 eV per atom; space group = I-42d; E above lowest polymorph = 406 meV per atom
1.0
-3.181 3.181 5.774
3.181 -3.181 5.774
3.181 3.181 -5.774
Tc Ag Sb
2 2 4
direct
0.000 0.000 0.000
0.750 0.250 0.500
0.250 0.750 0.500
0.500 0.500 0.000
0.095 0.625 0.970
0.375 0.345 0.470
0.655 0.125 0.030
0.875 0.905 0.530

***

Record 10
K7HgAu3, optimized geometry, DFT PBE; formation energy from the elements = -0.1642 eV per atom; space group = C2/m
1.0
5.564 -6.293 0.000
5.564 6.293 0.000
-2.749 0.000 6.811
K Hg Au
7 1 3
direct
0.000 0.000 0.000
0.116 0.536 0.288
0.342 0.342 0.792
0.464 0.884 0.712
0.536 0.116 0.288
0.658 0.658 0.208
0.884 0.464 0.712
0.000 0.000 0.500
0.272 0.728 0.000
0.500 0.500 0.500
0.728 0.272 0.000

***

Record 11
CaAcNd14, optimized geometry, DFT PBE; formation energy from the elements = 0.0420 eV per atom; space group = Amm2
1.0
11.995 0.000 0.000
0.000 3.742 6.497
0.000 -3.742 6.497
Ca Ac Nd
1 1 14
direct
0.000 0.000 0.000
0.000 0.498 0.498
0.000 0.003 0.497
0.000 0.497 0.003
0.252 0.332 0.332
0.252 0.830 0.830
0.254 0.337 0.833
0.254 0.833 0.337
0.500 0.500 0.500
0.500 0.500 0.999
0.500 0.999 0.500
0.500 0.999 0.999
0.746 0.337 0.833
0.746 0.833 0.337
0.748 0.332 0.332
0.748 0.830 0.830

***

Record 12
NaRh3Br, optimized geometry, DFT PBE; formation energy without anion corrections = 0.771 eV per atom; space group = Pm-3m; E above lowest polymorph = 0 meV per atom
1.0
4.660 0.000 0.000
0.000 4.660 0.000
0.000 0.000 4.660
Na Rh Br
1 3 1
direct
0.000 0.000 0.000
0.000 0.500 0.500
0.500 0.000 0.500
0.500 0.500 0.000
0.500 0.500 0.500

***

Number 1: total magnetization 0.0 μB/f.u., total energy -5.522 eV/atom. Number 2: total magnetization 0.0 μB/f.u., total energy -6.460 eV/atom. Number 3: total magnetization 1.4 μB/f.u., total energy -3.573 eV/atom. Number 4: total magnetization 0.0 μB/f.u., total energy -4.800 eV/atom. Number 5: total magnetization 0.0 μB/f.u., total energy -11.423 eV/atom. Number 6: total magnetization 0.0 μB/f.u., total energy -6.109 eV/atom. Number 7: total magnetization 6.4 μB/f.u., total energy -4.819 eV/atom. Number 8: total magnetization 0.0 μB/f.u., total energy -10.888 eV/atom. Number 9: total magnetization 0.0 μB/f.u., total energy -4.850 eV/atom. Number 10: total magnetization 0.0 μB/f.u., total energy -1.784 eV/atom. Number 11: total magnetization 0.0 μB/f.u., total energy -4.512 eV/atom. Number 12: total magnetization 0.0 μB/f.u., total energy -4.239 eV/atom.